## Zn2MoBr (GGA-PBE)

Data for a relaxed Zn2MoBr crystal.

The size of the total moment comes out at 0.00 μB per atom. The calculation puts the uncorrected formation energy at 556 meV per atom. The relative energy among the computed polymorphs is 0.327 eV per atom. The final energy is -3.207 eV/atom.

It has space group Immm (No. 71), with a = 3.005 Å, b = 4.555 Å, c = 10.211 Å, α = 90.00°, β = 90.00° and γ = 90.00°. The inequivalent atoms are Zn at (0.000, 0.000, 0.230), Mo at (0.000, 0.500, 0.500) and Br at (0.000, 0.500, 0.000).


## Ho2TmPu (GGA-PBE)

Data for a relaxed Ho2TmPu crystal.

The size of the total moment comes out at 1.78 μB per atom. The relative energy among the computed polymorphs is 0.097 eV per atom. The calculation puts the calculated formation energy at 0.185 eV per atom. The final energy is -6.805 eV/atom.

It has space group Fm-3m (No. 225), with a = 7.827 Å, b = 7.827 Å, c = 7.827 Å, α = 90.00°, β = 90.00° and γ = 90.00°. The inequivalent atoms are Ho at (0.250, 0.250, 0.250), Tm at (0.000, 0.000, 0.000) and Pu at (0.000, 0.000, 0.500).


## Sr2TlGaRh (GGA-PBE)

Data for a relaxed Sr2TlGaRh crystal.

The size of the total moment comes out at 0.00 μB per atom. The calculation puts the calculated formation energy at -0.306 eV per atom. The final energy is -3.527 eV/atom.

It has space group P4/mmm (No. 123), with a = 5.797 Å, b = 5.797 Å, c = 4.835 Å, α = 90.00°, β = 90.00° and γ = 90.00°. The inequivalent atoms are Sr at (0.000, 0.500, 0.000), Tl at (0.000, 0.000, 0.500), Ga at (0.500, 0.500, 0.500) and Rh at (0.500, 0.500, 0.000).


## Ba2SnBi (GGA-PBE)

Data for a relaxed Ba2SnBi crystal.

The size of the total moment comes out at 0.00 μB per atom. The relative energy among the computed polymorphs is 0.040 eV per atom. The calculation puts the calculated formation energy at -0.668 eV per atom. The final energy is -3.600 eV/atom.

It has space group P4/mmm (No. 123), with a = 5.608 Å, b = 5.608 Å, c = 4.913 Å, α = 90.00°, β = 90.00° and γ = 90.00°. The inequivalent atoms are Ba at (0.000, 0.500, 0.000), Sn at (0.000, 0.000, 0.500) and Bi at (0.500, 0.500, 0.500).


## CrCdAg (GGA-PBE)

Data for a relaxed CrCdAg crystal.

The size of the total moment comes out at 1.47 μB per atom. The relative energy among the computed polymorphs is 0.242 eV per atom. The calculation puts the calculated formation energy at 0.570 eV per atom. The final energy is -3.893 eV/atom.

It has space group F-43m (No. 216), with a = 6.448 Å, b = 6.448 Å, c = 6.448 Å, α = 90.00°, β = 90.00° and γ = 90.00°. The inequivalent atoms are Cr at (0.000, 0.000, 0.000), Cd at (0.000, 0.000, 0.500) and Ag at (0.250, 0.250, 0.750).


## La2TbZn2Sn2 (GGA-PBE)

Data for a relaxed La2TbZn2Sn2 crystal.

The size of the total moment comes out at 0.00 μB per atom. The calculation puts the calculated formation energy at -0.394 eV per atom. The final energy is -3.971 eV/atom.

It has space group R-3m (No. 166, hexagonal axes), with a = 4.6701 Å, b = 4.6701 Å, c = 28.9771 Å, α = 90.00°, β = 90.00° and γ = 120.00°. The inequivalent atoms are La at (0.0000, 0.0000, 0.1324), Tb at (0.0000, 0.0000, 0.0000), Zn at (0.0000, 0.0000, 0.4126) and Sn at (0.0000, 0.0000, 0.2711).


## Ca3BiPd3 (GGA-PBE)

Data for a relaxed Ca3BiPd3 crystal.

The size of the total moment comes out at 0.00 μB per atom. The calculation puts the calculated formation energy at -0.615 eV per atom. The final energy is -4.253 eV/atom.

It has space group P6_3/m (No. 176), with a = 9.1375 Å, b = 9.1375 Å, c = 4.7686 Å, α = 90.00°, β = 90.00° and γ = 120.00°. The inequivalent atoms are Ca at (0.0878, 0.6820, 0.2500), Bi at (0.3333, 0.6667, 0.7500) and Pd at (0.0418, 0.8472, 0.7500).


## TbPm6Sc6 (GGA-PBE)

Data for a relaxed TbPm6Sc6 crystal.

The size of the total moment comes out at 0.00 μB per atom. The calculation puts the calculated formation energy at 0.222 eV per atom. The final energy is -5.249 eV/atom.

It has space group P6/mmm (No. 191), with a = 6.4787 Å, b = 6.4787 Å, c = 10.9927 Å, α = 90.00°, β = 90.00° and γ = 120.00°. The inequivalent atoms are Tb at (0.0000, 0.0000, 0.0000), Pm at (0.0000, 0.0000, 0.3346), Pm at (0.3333, 0.6667, 0.0000), Pm at (0.3333, 0.6667, 0.5000) and Sc at (0.0000, 0.5000, 0.2441).


## MgCuRu4 (GGA-PBE)

Data for a relaxed MgCuRu4 crystal.

The size of the total moment comes out at 0.33 μB per atom. The calculation puts the calculated formation energy at 0.458 eV per atom. The final energy is -6.674 eV/atom.

It has space group F-43m (No. 216), with a = 7.222 Å, b = 7.222 Å, c = 7.222 Å, α = 90.00°, β = 90.00° and γ = 90.00°. The inequivalent atoms are Mg at (0.000, 0.000, 0.000), Cu at (0.250, 0.250, 0.250) and Ru at (0.125, 0.125, 0.625).


## Ba2CrRe (GGA-PBE)

Data for a relaxed Ba2CrRe crystal.

The size of the total moment comes out at 0.24 μB per atom. The relative energy among the computed polymorphs is 0.175 eV per atom. The calculation puts the calculated formation energy at 0.720 eV per atom. The final energy is -5.759 eV/atom.

It has space group P4mm (No. 99), with a = 3.429 Å, b = 3.429 Å, c = 9.936 Å, α = 90.00°, β = 90.00° and γ = 90.00°. The inequivalent atoms are Ba at (0.000, 0.000, 0.000), Ba at (0.500, 0.500, 0.411), Cr at (0.000, 0.000, 0.677) and Re at (0.500, 0.500, 0.735).


## BN (GGA-PBE)

Data for a relaxed BN crystal.

The size of the total moment comes out at 0.00 μB per atom. The calculation puts the uncorrected formation energy at -1117 meV per atom. The relative energy among the computed polymorphs is 0.170 eV per atom. The final energy is -8.618 eV/atom.

It has space group Amm2 (No. 38), with a = 2.512 Å, b = 6.082 Å, c = 6.349 Å, α = 90.00°, β = 90.00° and γ = 90.00°. The inequivalent atoms are B at (0.000, 0.000, 0.000), B at (0.500, 0.202, 0.293), N at (0.000, 0.210, 0.861) and N at (0.500, 0.000, 0.148).


## Pd3Pt2Au3 (GGA-PBE)

Data for a relaxed Pd3Pt2Au3 crystal.

The size of the total moment comes out at 0.00 μB per atom. The calculation puts the calculated formation energy at -0.024 eV per atom. The final energy is -4.710 eV/atom.

It has space group P-1 (No. 2), with a = 3.951 Å, b = 4.032 Å, c = 8.696 Å, α = 103.31°, β = 103.04° and γ = 90.08°. The inequivalent atoms are Pd at (0.000, 0.000, 0.000), Pd at (0.127, 0.627, 0.254), Pt at (0.250, 0.250, 0.500), Au at (0.375, 0.875, 0.749) and Au at (0.500, 0.500, 0.000).


## TlMoPOsRu (GGA-PBE)

Data for a relaxed TlMoPOsRu crystal.

The size of the total moment comes out at 0.00 μB per atom. The relative energy among the computed polymorphs is 0.158 eV per atom. The calculation puts the calculated formation energy at 0.215 eV per atom. The final energy is -7.607 eV/atom.

It has space group P1 (No. 1), with a = 2.996 Å, b = 4.860 Å, c = 6.402 Å, α = 110.35°, β = 90.06° and γ = 107.95°. The inequivalent atoms are Tl at (0.000, 0.000, 0.000), Mo at (0.557, 0.114, 0.453), P at (0.300, 0.603, 0.527), Os at (0.791, 0.586, 0.244) and Ru at (0.224, 0.450, 0.825).


## Hf4ZrCo2 (GGA-PBE)

Data for a relaxed Hf4ZrCo2 crystal.

The size of the total moment comes out at 0.00 μB per atom. The calculation puts the calculated formation energy at -0.151 eV per atom. The final energy is -9.090 eV/atom.

It has space group P2_1/m (No. 11), with a = 6.536 Å, b = 5.838 Å, c = 7.405 Å, α = 90.00°, β = 108.62° and γ = 90.00°. The inequivalent atoms are Hf at (0.042, 0.250, 0.408), Hf at (0.228, 0.750, 0.337), Hf at (0.394, 0.004, 0.768), Zr at (0.148, 0.250, 0.029), Co at (0.267, 0.750, 0.005) and Co at (0.404, 0.250, 0.424).


## Pm4Ge3N (GGA-PBE)

Data for a relaxed Pm4Ge3N crystal.

The size of the total moment comes out at 0.00 μB per atom. The calculation puts the uncorrected formation energy at -751 meV per atom. The final energy is -5.899 eV/atom.

It has space group Cmmm (No. 65), with a = 8.711 Å, b = 11.602 Å, c = 3.873 Å, α = 90.00°, β = 90.00° and γ = 90.00°. The inequivalent atoms are Pm at (0.000, 0.234, 0.000), Pm at (0.204, 0.000, 0.500), Ge at (0.000, 0.500, 0.000), Ge at (0.250, 0.250, 0.500) and N at (0.000, 0.000, 0.000).


## K3DyAs2S8 (GGA-PBE)

Data for a relaxed K3DyAs2S8 crystal.

The size of the total moment comes out at 0.00 μB per atom. The calculation puts the uncorrected formation energy at -909 meV per atom. The final energy is -4.495 eV/atom.

It has space group C2/c (No. 15), with a = 10.477 Å, b = 19.366 Å, c = 9.077 Å, α = 90.00°, β = 117.85° and γ = 90.00°. The inequivalent atoms are K at (0.000, 0.000, 0.000), K at (0.000, 0.245, 0.250), K at (0.000, 0.496, 0.250), Dy at (0.000, 0.257, 0.750), As at (0.219, 0.374, 0.097), S at (0.015, 0.354, 0.530), S at (0.178, 0.179, 0.660), S at (0.202, 0.176, 0.062) and S at (0.247, 0.016, 0.875).


## CeTl3Te2O9 (GGA-PBE)

Data for a relaxed CeTl3Te2O9 crystal.

The size of the total moment comes out at 0.00 μB per atom. The calculation puts the uncorrected formation energy at -1327 meV per atom. The final energy is -5.589 eV/atom.

It has space group P-3m1 (No. 164), with a = 6.0026 Å, b = 6.0026 Å, c = 7.3119 Å, α = 90.00°, β = 90.00° and γ = 120.00°. The inequivalent atoms are Ce at (0.0000, 0.0000, 0.0000), Tl at (0.0000, 0.0000, 0.5000), Tl at (0.3333, 0.6667, 0.1745), Te at (0.3333, 0.6667, 0.6655), O at (0.0000, 0.5000, 0.5000) and O at (0.1791, 0.3582, 0.8213).


## SrGeAs (GGA-PBE)

Data for a relaxed SrGeAs crystal.

The size of the total moment comes out at 0.00 μB per atom. The calculation puts the calculated formation energy at -0.594 eV per atom. The final energy is -4.243 eV/atom.

It has space group P6_3/mmc (No. 194), with a = 4.5690 Å, b = 4.5690 Å, c = 8.9191 Å, α = 90.00°, β = 90.00° and γ = 120.00°. The inequivalent atoms are Sr at (0.0000, 0.0000, 0.0000), Ge at (0.3333, 0.6667, 0.2500) and As at (0.3333, 0.6667, 0.7500).


## HfTaAu (GGA-PBE)

Data for a relaxed HfTaAu crystal.

The size of the total moment comes out at 0.00 μB per atom. The relative energy among the computed polymorphs is 0.534 eV per atom. The calculation puts the calculated formation energy at 0.201 eV per atom. The final energy is -8.160 eV/atom.

It has space group C2/m (No. 12), with a = 10.342 Å, b = 2.931 Å, c = 8.658 Å, α = 90.00°, β = 111.05° and γ = 90.00°. The inequivalent atoms are Hf at (0.091, 0.000, 0.351), Ta at (0.133, 0.000, 0.011) and Au at (0.191, 0.000, 0.702).


## Ca3Cu2Ni4 (GGA-PBE)

Data for a relaxed Ca3Cu2Ni4 crystal.

The size of the total moment comes out at 0.00 μB per atom. The calculation puts the calculated formation energy at -0.157 eV per atom. The final energy is -4.304 eV/atom.

It has space group C2/m (No. 12), with a = 9.996 Å, b = 4.141 Å, c = 8.025 Å, α = 90.00°, β = 102.25° and γ = 90.00°. The inequivalent atoms are Ca at (0.000, 0.000, 0.000), Ca at (0.124, 0.500, 0.376), Cu at (0.179, 0.500, 0.771), Ni at (0.085, 0.000, 0.633) and Ni at (0.249, 0.000, 0.918).


## Ac2La5Sc (GGA-PBE)

Data for a relaxed Ac2La5Sc crystal.

The size of the total moment comes out at 0.00 μB per atom. The calculation puts the calculated formation energy at 0.044 eV per atom. The final energy is -4.854 eV/atom.

It has space group I4/mmm (No. 139), with a = 5.309 Å, b = 5.309 Å, c = 21.023 Å, α = 90.00°, β = 90.00° and γ = 90.00°. The inequivalent atoms are Ac at (0.000, 0.000, 0.249), La at (0.000, 0.000, 0.000), La at (0.000, 0.500, 0.118) and Sc at (0.000, 0.000, 0.500).


## Rb3Tb3ZrSe8 (GGA-PBE)

Data for a relaxed Rb3Tb3ZrSe8 crystal.

The size of the total moment comes out at 0.00 μB per atom. The calculation puts the uncorrected formation energy at -1668 meV per atom. The final energy is -5.216 eV/atom.

It has space group R-3m (No. 166, hexagonal axes), with a = 8.3015 Å, b = 8.3015 Å, c = 24.5129 Å, α = 90.00°, β = 90.00° and γ = 120.00°. The inequivalent atoms are Rb at (0.0000, 0.5000, 0.0000), Tb at (0.0000, 0.5000, 0.5000), Zr at (0.0000, 0.0000, 0.5000), Se at (0.0000, 0.0000, 0.2320) and Se at (0.0153, 0.5076, 0.2296).


## Pm4SmDy3 (GGA-PBE)

Data for a relaxed Pm4SmDy3 crystal.

The size of the total moment comes out at 0.00 μB per atom. The relative energy among the computed polymorphs is 0.000 eV per atom. The calculation puts the calculated formation energy at 0.026 eV per atom. The final energy is -4.665 eV/atom.

It has space group Pmn2_1 (No. 31), with a = 11.585 Å, b = 7.327 Å, c = 6.326 Å, α = 90.00°, β = 90.00° and γ = 90.00°. The inequivalent atoms are Pm at (0.000, 0.127, 0.000), Pm at (0.000, 0.873, 0.496), Pm at (0.248, 0.874, 0.831), Sm at (0.000, 0.376, 0.498), Dy at (0.000, 0.622, 0.998) and Dy at (0.250, 0.377, 0.831).